(1)
# NaAs2Pd2

A crystal of NaAs2Pd2 relaxed with PBEsol (SCAN, the Alexandria database).

Summary:
The symmetry is I4/mmm (139). For the formation energy from the elements, the calculation gives -0.51 eV/atom.

Cell lengths 4.2789, 4.2789, 5.8838 Å; angles 111.32, 111.32, 90.00 degrees
Positions (direct):
Na1 0.0000 0.0000 0.0000
As1 0.3768 0.3768 0.7535
As2 0.6232 0.6232 0.2465
Pd1 0.2500 0.7500 0.5000
Pd2 0.7500 0.2500 0.5000

(2)
# Li2CaAl

A crystal of Li2CaAl relaxed with PBEsol (SCAN, the Alexandria database).

Summary:
The symmetry is I-4m2 (119). For the formation energy from the elements, the calculation gives -0.04 eV/atom.

Cell lengths 4.6319, 5.2919, 4.6319 Å; angles 64.05, 90.00, 115.95 degrees
Positions (direct):
Ca1 0.7500 0.5000 0.7500
Al1 0.5000 0.0000 0.5000
Li1 0.0000 0.0000 0.0000
Li2 0.2500 0.5000 0.2500

(3)
# AgGe3Te

A crystal of AgGe3Te relaxed with PBEsol (SCAN, the Alexandria database).

Summary:
The symmetry is Pm-3m (221). The uncorrected formation energy comes out at 1.20 eV/atom.

Cell lengths 5.3613, 5.3613, 5.3613 Å; angles 90.00, 90.00, 90.00 degrees
Positions (direct):
Ge1 0.0000 0.5000 0.0000
Ge2 0.0000 0.0000 0.5000
Ge3 0.5000 0.0000 0.0000
Te1 0.0000 0.0000 0.0000
Ag1 0.5000 0.5000 0.5000

(4)
# BaY2F8

A crystal of BaY2F8 relaxed with PBEsol (SCAN, the Alexandria database).

Summary:
The symmetry is I-4 (82). The offset from the most stable computed form is 150.5 meV/atom. The uncorrected formation energy comes out at -4.25 eV/atom.

Cell lengths 5.3402, 5.3402, 7.6998 Å; angles 110.29, 110.29, 90.00 degrees
Positions (direct):
Ba1 0.0000 0.0000 0.0000
Y1 0.6894 0.6894 0.3789
Y2 0.3106 0.3106 0.6211
F1 0.2054 0.6159 0.8288
F2 0.6011 0.6046 0.6176
F3 0.7872 0.7946 0.1712
F4 0.3841 0.3767 0.1712
F5 0.9870 0.3989 0.3824
F6 0.3954 0.9836 0.3824
F7 0.6233 0.2128 0.8288
F8 0.0164 0.0130 0.6176

(5)
# ZnAg4P

A crystal of ZnAg4P relaxed with PBEsol (SCAN, the Alexandria database).

Summary:
The symmetry is F-43m (216). For the formation energy from the elements, the calculation gives 0.44 eV/atom.

Cell lengths 5.3115, 5.3115, 5.3115 Å; angles 60.00, 60.00, 60.00 degrees
Positions (direct):
Ag1 0.3748 0.3748 0.3748
Ag2 0.3748 0.3748 0.8755
Ag3 0.8755 0.3748 0.3748
Ag4 0.3748 0.8755 0.3748
P1 0.7500 0.7500 0.7500
Zn1 0.0000 0.0000 0.0000

(6)
# NbCl5

A crystal of NbCl5 relaxed with PBEsol (SCAN, the Alexandria database).

Summary:
The symmetry is C2/m (12). The uncorrected formation energy comes out at -1.37 eV/atom.

Cell lengths 5.9372, 12.9960, 12.9960 Å; angles 88.00, 89.56, 89.56 degrees
Positions (direct):
Nb1 0.4761 0.4428 0.2236
Nb2 0.5239 0.7764 0.5572
Nb3 0.5239 0.5572 0.7764
Nb4 0.4761 0.2236 0.4428
Nb5 0.0000 0.1095 0.8905
Nb6 0.0000 0.8905 0.1095
Cl1 0.2427 0.5286 0.3360
Cl2 0.7573 0.6640 0.4714
Cl3 0.7573 0.4714 0.6640
Cl4 0.2427 0.3360 0.5286
Cl5 0.7161 0.5772 0.2014
Cl6 0.2839 0.7986 0.4228
Cl7 0.7565 0.8677 0.2438
Cl8 0.2435 0.7562 0.1323
Cl9 0.2435 0.1323 0.7562
Cl10 0.7565 0.2438 0.8677
Cl11 0.2257 0.0033 0.1955
Cl12 0.7743 0.8045 0.9967
Cl13 0.7743 0.9967 0.8045
Cl14 0.2257 0.1955 0.0033
Cl15 0.7792 0.0511 0.0511
Cl16 0.2208 0.9489 0.9489
Cl17 0.2594 0.2819 0.2819
Cl18 0.7406 0.7181 0.7181
Cl19 0.2373 0.0889 0.4655
Cl20 0.7627 0.5345 0.9111
Cl21 0.7627 0.9111 0.5345
Cl22 0.2373 0.4655 0.0889
Cl23 0.7093 0.1378 0.3301
Cl24 0.2907 0.6699 0.8622
Cl25 0.2907 0.8622 0.6699
Cl26 0.7093 0.3301 0.1378
Cl27 0.6927 0.3845 0.3845
Cl28 0.3073 0.6155 0.6155
Cl29 0.7161 0.2014 0.5772
Cl30 0.2839 0.4228 0.7986

(7)
# AlFe2Mo

A crystal of AlFe2Mo relaxed with PBEsol (SCAN, the Alexandria database).

Summary:
The symmetry is P2/m (10). For the formation energy from the elements, the calculation gives 0.10 eV/atom.

Cell lengths 2.6018, 4.4843, 4.7593 Å; angles 114.23, 90.00, 90.00 degrees
Positions (direct):
Mo1 0.5000 0.5000 0.0000
Fe1 0.0000 0.0000 0.0000
Fe2 0.5000 0.0000 0.5000
Al1 0.0000 0.5000 0.5000

(8)
# MgZr3Ru

A crystal of MgZr3Ru relaxed with PBEsol (SCAN, the Alexandria database).

Summary:
The symmetry is Pm-3m (221). For the formation energy from the elements, the calculation gives 1.57 eV/atom.

Cell lengths 4.8505, 4.8505, 4.8505 Å; angles 90.00, 90.00, 90.00 degrees
Positions (direct):
Ru1 0.5000 0.5000 0.5000
Mg1 0.0000 0.0000 0.0000
Zr1 0.0000 0.5000 0.0000
Zr2 0.0000 0.0000 0.5000
Zr3 0.5000 0.0000 0.0000

(9)
# Y2Cd

A crystal of Y2Cd relaxed with PBEsol (SCAN, the Alexandria database).

Summary:
The symmetry is Fd-3m (227). For the formation energy from the elements, the calculation gives -0.33 eV/atom.

Cell lengths 9.7591, 9.7591, 9.7591 Å; angles 60.00, 60.00, 60.00 degrees
Positions (direct):
Cd1 0.8390 0.4830 0.8390
Cd2 0.8390 0.8390 0.4830
Cd3 0.8390 0.8390 0.8390
Cd4 0.4830 0.8390 0.8390
Cd5 0.4110 0.7670 0.4110
Cd6 0.4110 0.4110 0.7670
Cd7 0.4110 0.4110 0.4110
Cd8 0.7670 0.4110 0.4110
Y1 0.1250 0.6250 0.6250
Y2 0.6250 0.6250 0.6250
Y3 0.6250 0.6250 0.1250
Y4 0.6250 0.1250 0.6250
Y5 0.0648 0.4352 0.4352
Y6 0.0648 0.4352 0.0648
Y7 0.4352 0.4352 0.0648
Y8 0.0648 0.0648 0.4352
Y9 0.4352 0.0648 0.4352
Y10 0.4352 0.0648 0.0648
Y11 0.1852 0.8148 0.8148
Y12 0.1852 0.8148 0.1852
Y13 0.8148 0.8148 0.1852
Y14 0.1852 0.1852 0.8148
Y15 0.8148 0.1852 0.8148
Y16 0.8148 0.1852 0.1852

(10)
# LiLa2Co

A crystal of LiLa2Co relaxed with PBEsol (SCAN, the Alexandria database).

Summary:
The symmetry is C2/m (12). For the formation energy from the elements, the calculation gives 0.07 eV/atom.

Cell lengths 3.8548, 3.8638, 9.0345 Å; angles 102.04, 90.00, 119.92 degrees
Positions (direct):
Li1 0.5000 0.0000 0.0000
Co1 0.0000 0.0000 0.5000
La1 0.7248 0.4496 0.6746
La2 0.2752 0.5504 0.3254

(11)
# CuRh2Br

A crystal of CuRh2Br relaxed with PBEsol (SCAN, the Alexandria database).

Summary:
The symmetry is P4mm (99). The offset from the most stable computed form is 0.0 meV/atom. The uncorrected formation energy comes out at 0.45 eV/atom.

Cell lengths 2.9451, 2.9451, 7.0246 Å; angles 90.00, 90.00, 90.00 degrees
Positions (direct):
Br1 0.0000 0.0000 0.4878
Cu1 0.5000 0.5000 0.7842
Rh1 0.0000 0.0000 0.0038
Rh2 0.5000 0.5000 0.2242

(12)
# Zr3FeC

A crystal of Zr3FeC relaxed with PBEsol (SCAN, the Alexandria database).

Summary:
The symmetry is Pm-3m (221). For the formation energy from the elements, the calculation gives 1.26 eV/atom.

Cell lengths 4.6169, 4.6169, 4.6169 Å; angles 90.00, 90.00, 90.00 degrees
Positions (direct):
C1 0.5000 0.5000 0.5000
Fe1 0.0000 0.0000 0.0000
Zr1 0.0000 0.5000 0.0000
Zr2 0.0000 0.0000 0.5000
Zr3 0.5000 0.0000 0.0000

(13)
# CeB2C2

A crystal of CeB2C2 relaxed with PBEsol (SCAN, the Alexandria database).

Summary:
The symmetry is P4/mbm (127). For the formation energy from the elements, the calculation gives -0.51 eV/atom.

Cell lengths 3.6681, 5.3540, 5.3540 Å; angles 90.00, 90.00, 90.00 degrees
Positions (direct):
Ce1 0.0000 0.0000 0.0000
Ce2 0.0000 0.5000 0.5000
B1 0.5000 0.3642 0.1358
B2 0.5000 0.1358 0.6358
B3 0.5000 0.6358 0.8642
B4 0.5000 0.8642 0.3642
C1 0.5000 0.3374 0.8374
C2 0.5000 0.6626 0.1626
C3 0.5000 0.8374 0.6626
C4 0.5000 0.1626 0.3374

(14)
# Sc2TaBr

A crystal of Sc2TaBr relaxed with PBEsol (SCAN, the Alexandria database).

Summary:
The symmetry is P4/mmm (123). The offset from the most stable computed form is 325.8 meV/atom. The uncorrected formation energy comes out at 0.03 eV/atom.

Cell lengths 3.1518, 5.0731, 5.0731 Å; angles 90.00, 90.00, 90.00 degrees
Positions (direct):
Br1 0.5000 0.0000 0.0000
Sc1 0.0000 0.0000 0.5000
Sc2 0.0000 0.5000 0.0000
Ta1 0.5000 0.5000 0.5000

(15)
# K2LaScSn

A crystal of K2LaScSn relaxed with PBEsol (SCAN, the Alexandria database).

Summary:
The symmetry is P4/mmm (123). For the formation energy from the elements, the calculation gives 0.59 eV/atom.

Cell lengths 5.5782, 5.7525, 5.7525 Å; angles 90.00, 90.00, 90.00 degrees
Positions (direct):
Sc1 0.0000 0.0000 0.0000
K1 0.0000 0.0000 0.5000
K2 0.0000 0.5000 0.0000
Sn1 0.5000 0.0000 0.0000
La1 0.5000 0.5000 0.5000

(16)
# Ce3Rh4Pb13

A crystal of Ce3Rh4Pb13 relaxed with PBEsol (SCAN, the Alexandria database).

Summary:
The symmetry is Pm-3n (223). For the formation energy from the elements, the calculation gives -0.40 eV/atom.

Cell lengths 9.9244, 9.9244, 9.9244 Å; angles 90.00, 90.00, 90.00 degrees
Positions (direct):
Ce1 0.2500 0.0000 0.5000
Ce2 0.7500 0.0000 0.5000
Ce3 0.5000 0.2500 0.0000
Ce4 0.5000 0.7500 0.0000
Ce5 0.0000 0.5000 0.2500
Ce6 0.0000 0.5000 0.7500
Rh1 0.2500 0.2500 0.2500
Rh2 0.7500 0.7500 0.7500
Rh3 0.7500 0.7500 0.2500
Rh4 0.7500 0.2500 0.7500
Rh5 0.2500 0.2500 0.7500
Rh6 0.2500 0.7500 0.2500
Rh7 0.2500 0.7500 0.7500
Rh8 0.7500 0.2500 0.2500
Pb1 0.0000 0.0000 0.0000
Pb2 0.5000 0.5000 0.5000
Pb3 0.0000 0.1541 0.3089
Pb4 0.0000 0.8459 0.6911
Pb5 0.0000 0.8459 0.3089
Pb6 0.0000 0.1541 0.6911
Pb7 0.3089 0.0000 0.1541
Pb8 0.6541 0.5000 0.1911
Pb9 0.6911 0.0000 0.8459
Pb10 0.3459 0.5000 0.8089
Pb11 0.3089 0.0000 0.8459
Pb12 0.3459 0.5000 0.1911
Pb13 0.6911 0.0000 0.1541
Pb14 0.6541 0.5000 0.8089
Pb15 0.1541 0.3089 0.0000
Pb16 0.5000 0.8089 0.3459
Pb17 0.8459 0.6911 0.0000
Pb18 0.5000 0.1911 0.6541
Pb19 0.1541 0.6911 0.0000
Pb20 0.5000 0.1911 0.3459
Pb21 0.8459 0.3089 0.0000
Pb22 0.5000 0.8089 0.6541
Pb23 0.1911 0.6541 0.5000
Pb24 0.8089 0.3459 0.5000
Pb25 0.1911 0.3459 0.5000
Pb26 0.8089 0.6541 0.5000

(17)
# NaNiSN2

A crystal of NaNiSN2 relaxed with PBEsol (SCAN, the Alexandria database).

Summary:
The symmetry is P4/mmm (123). The uncorrected formation energy comes out at 0.67 eV/atom.

Cell lengths 3.7301, 3.7301, 4.8104 Å; angles 90.00, 90.00, 90.00 degrees
Positions (direct):
Ni1 0.0000 0.0000 0.0000
S1 0.0000 0.0000 0.5000
N1 0.0000 0.5000 0.0000
N2 0.5000 0.0000 0.0000
Na1 0.5000 0.5000 0.5000

(18)
# FeNiOs2

A crystal of FeNiOs2 relaxed with PBEsol (SCAN, the Alexandria database).

Summary:
The symmetry is Fm-3m (225). For the formation energy from the elements, the calculation gives 0.19 eV/atom. The offset from the most stable computed form is 0.0 meV/atom.

Cell lengths 4.1172, 4.1172, 4.1172 Å; angles 60.00, 60.00, 60.00 degrees
Positions (direct):
Fe1 0.0000 0.0000 0.0000
Ni1 0.5000 0.5000 0.5000
Os1 0.2500 0.2500 0.2500
Os2 0.7500 0.7500 0.7500

(19)
# Sr2LiZn

A crystal of Sr2LiZn relaxed with PBEsol (SCAN, the Alexandria database).

Summary:
The symmetry is P4/mmm (123). For the formation energy from the elements, the calculation gives -0.07 eV/atom.

Cell lengths 4.0121, 5.5600, 5.5600 Å; angles 90.00, 90.00, 90.00 degrees
Positions (direct):
Sr1 0.0000 0.0000 0.5000
Sr2 0.0000 0.5000 0.0000
Zn1 0.5000 0.0000 0.0000
Li1 0.5000 0.5000 0.5000

(20)
# KTc2Rh

A crystal of KTc2Rh relaxed with PBEsol (SCAN, the Alexandria database).

Summary:
The symmetry is Immm (71). For the formation energy from the elements, the calculation gives 0.87 eV/atom.

Cell lengths 2.6283, 4.9324, 5.9839 Å; angles 114.34, 102.69, 90.00 degrees
Positions (direct):
K1 0.0000 0.5000 0.0000
Rh1 0.5000 0.0000 0.0000
Tc1 0.7893 0.7893 0.5787
Tc2 0.2107 0.2107 0.4213